# 1
The following is a PBE-GGA calculation of a relaxed structure of CuPd2Pt6, from Alexandria.

Cell and atoms, written as CIF:
```
data_CuPd2Pt6
_chemical_formula_sum 'Cu1 Pd2 Pt6'
_symmetry_space_group_name_H-M 'P 1'
_symmetry_Int_Tables_number 1
_symmetry_space_group_name_Hall 'P 1'
_cell_length_a 2.741
_cell_length_b 2.741
_cell_length_c 21.398
_cell_angle_alpha 90.00
_cell_angle_beta 90.00
_cell_angle_gamma 120.00
loop_
_atom_site_label
_atom_site_fract_x
_atom_site_fract_y
_atom_site_fract_z
Cu1 0.000 0.000 0.000
Pd1 0.333 0.667 0.327
Pd2 0.333 0.667 0.673
Pt1 0.000 0.000 0.216
Pt2 0.000 0.000 0.438
Pt3 0.000 0.000 0.562
Pt4 0.000 0.000 0.784
Pt5 0.333 0.667 0.101
Pt6 0.333 0.667 0.899
```

Calculated values
- volume (Å³ per cell) = 139.23
- ΔH_f (0 K) (eV/atom) = -0.018
- excess energy over the best structure of this formula in the dataset (eV per atom) = 0.0540
- SG = P-6m2, No. 187

# 2
The following is a PBE-GGA calculation of a relaxed structure of CuPd4Pt4, from Alexandria.

Cell and atoms, written as CIF:
```
data_CuPd4Pt4
_chemical_formula_sum 'Cu1 Pd4 Pt4'
_symmetry_space_group_name_H-M 'P 1'
_symmetry_Int_Tables_number 1
_symmetry_space_group_name_Hall 'P 1'
_cell_length_a 6.195
_cell_length_b 6.195
_cell_length_c 6.195
_cell_angle_alpha 95.91
_cell_angle_beta 95.91
_cell_angle_gamma 142.56
loop_
_atom_site_label
_atom_site_fract_x
_atom_site_fract_y
_atom_site_fract_z
Cu1 0.000 0.000 0.000
Pd1 0.000 0.329 0.329
Pd2 0.000 0.671 0.671
Pd3 0.329 0.000 0.329
Pd4 0.671 0.000 0.671
Pt1 0.337 0.337 0.673
Pt2 0.337 0.663 0.000
Pt3 0.663 0.337 0.000
Pt4 0.663 0.663 0.327
```

Calculated values
- volume (Å³ per cell) = 136.91
- ΔH_f (0 K) (eV/atom) = -0.050
- excess energy over the best structure of this formula in the dataset (eV per atom) = 0.0000
- SG = I4/mmm, No. 139

# 3
The following is a PBE-GGA calculation of a relaxed structure of CuPd6Pt2, from Alexandria.

Cell and atoms, written as CIF:
```
data_CuPd6Pt2
_chemical_formula_sum 'Cu1 Pd6 Pt2'
_symmetry_space_group_name_H-M 'P 1'
_symmetry_Int_Tables_number 1
_symmetry_space_group_name_Hall 'P 1'
_cell_length_a 4.336
_cell_length_b 4.336
_cell_length_c 8.181
_cell_angle_alpha 96.85
_cell_angle_beta 96.85
_cell_angle_gamma 64.86
loop_
_atom_site_label
_atom_site_fract_x
_atom_site_fract_y
_atom_site_fract_z
Cu1 0.000 0.000 0.000
Pd1 0.002 0.002 0.328
Pd2 0.332 0.332 0.894
Pd3 0.334 0.334 0.222
Pd4 0.666 0.666 0.778
Pd5 0.668 0.668 0.106
Pd6 0.998 0.998 0.672
Pt1 0.332 0.332 0.557
Pt2 0.668 0.668 0.443
```

Calculated values
- volume (Å³ per cell) = 137.85
- ΔH_f (0 K) (eV/atom) = 0.012
- SG = C2/m, No. 12

# 4
The following is a PBE-GGA calculation of a relaxed structure of Cu3Pd2Pt3, from Alexandria.

Cell and atoms, written as CIF:
```
data_Cu3Pd2Pt3
_chemical_formula_sum 'Cu3 Pd2 Pt3'
_symmetry_space_group_name_H-M 'P 1'
_symmetry_Int_Tables_number 1
_symmetry_space_group_name_Hall 'P 1'
_cell_length_a 3.759
_cell_length_b 3.912
_cell_length_c 7.820
_cell_angle_alpha 90.00
_cell_angle_beta 90.00
_cell_angle_gamma 90.00
loop_
_atom_site_label
_atom_site_fract_x
_atom_site_fract_y
_atom_site_fract_z
Cu1 0.000 0.000 0.000
Cu2 0.000 0.500 0.246
Cu3 0.000 0.500 0.754
Pd1 0.500 0.000 0.242
Pd2 0.500 0.000 0.758
Pt1 0.000 0.000 0.500
Pt2 0.500 0.500 0.000
Pt3 0.500 0.500 0.500
```

Calculated values
- volume (Å³ per cell) = 115.01
- ΔH_f (0 K) (eV/atom) = -0.095
- excess energy over the best structure of this formula in the dataset (eV per atom) = 0.0103
- SG = Pmmm, No. 47